Ac4DyMg5 (PBE, relaxed); density = 5.950 g/cm³; space group = P4/mmm; energy of formation from the pure elements = -73 meV/atom
1.0
4.050 0.000 0.000
0.000 4.050 0.000
0.000 0.000 20.277
Ac Dy Mg
4 1 5
Direct
0.000 0.000 0.190 Ac
0.000 0.000 0.396 Ac
0.000 0.000 0.604 Ac
0.000 0.000 0.810 Ac
0.000 0.000 0.000 Dy
0.500 0.500 0.083 Mg
0.500 0.500 0.293 Mg
0.500 0.500 0.500 Mg
0.500 0.500 0.707 Mg
0.500 0.500 0.917 Mg